VFe4Ir15 | PBE | relaxed

Values from the calculation:
* V: 13.891 Å³/atom
* density of states at the Fermi level: 23.8 states/eV per cell
* calculated formation energy: -115 meV/atom

Cell lengths 3.8179, 3.8179, 19.0596 Å; angles 90.00, 90.00, 90.00 degrees
Last column: nearest neighbours and their distance in Å.
Positions (direct):
Ir 0.5000 0.5000 0.2011  4 Fe 2.70, 8 Ir 2.71-2.72
Ir 0.5000 0.5000 0.5990  8 Ir 2.68, 4 Fe 2.70
Ir 0.0000 0.5000 0.3026  8 Ir 2.68-2.72, 4 Fe 2.68-2.70
Ir 0.5000 0.0000 0.6974  8 Ir 2.68-2.72, 4 Fe 2.68-2.70
Ir 0.0000 0.5000 0.9001  2 V 2.70, 8 Ir 2.70-2.71, 2 Fe 2.73
Ir 0.0000 0.5000 0.5000  4 Fe 2.68, 8 Ir 2.68-2.70
Ir 0.5000 0.5000 0.7989  4 Fe 2.70, 8 Ir 2.71-2.72
Ir 0.0000 0.5000 0.0999  8 Ir 2.70-2.71, 2 V 2.70, 2 Fe 2.73
Ir 0.5000 0.5000 0.4010  8 Ir 2.68, 4 Fe 2.70
Ir 0.5000 0.0000 0.3026  8 Ir 2.68-2.72, 4 Fe 2.68-2.70
Ir 0.0000 0.5000 0.6974  8 Ir 2.68-2.72, 4 Fe 2.68-2.70
Ir 0.5000 0.5000 0.0000  8 Ir 2.70, 4 V 2.70
Ir 0.5000 0.0000 0.9001  2 V 2.70, 8 Ir 2.70-2.71, 2 Fe 2.73
Ir 0.5000 0.0000 0.5000  4 Fe 2.68, 8 Ir 2.68-2.70
Ir 0.5000 0.0000 0.0999  8 Ir 2.70-2.71, 2 V 2.70, 2 Fe 2.73
V 0.0000 0.0000 0.0000  12 Ir 2.70
Fe 0.0000 0.0000 0.2024  12 Ir 2.70-2.73
Fe 0.0000 0.0000 0.7976  12 Ir 2.70-2.73
Fe 0.0000 0.0000 0.4011  12 Ir 2.68-2.70
Fe 0.0000 0.0000 0.5989  12 Ir 2.68-2.70

---

SrPa3 | PBE | relaxed

Values from the calculation:
* V: 27.215 Å³/atom
* density of states at the Fermi level: 8.5 states/eV per cell
* calculated formation energy: 620 meV/atom

Cell lengths 5.8448, 5.8448, 5.8448 Å; angles 131.75, 131.75, 70.62 degrees
Last column: nearest neighbours and their distance in Å.
Positions (direct):
Pa 0.7500 0.2500 0.5000  8 Pa 3.38, 4 Sr 3.38
Pa 0.2500 0.7500 0.5000  8 Pa 3.38, 4 Sr 3.38
Pa 0.5000 0.5000 0.0000  8 Pa 3.38, 4 Sr 3.38
Sr 0.0000 0.0000 0.0000  12 Pa 3.38

---

CaInRuO6 | PBE | relaxed

Values from the calculation:
* V: 13.837 Å³/atom
* formation energy (no corrections): -1374 meV/atom
* density of states at the Fermi level: 8.5 states/eV per cell

Cell lengths 5.4330, 5.4330, 9.7428 Å; angles 90.00, 90.00, 120.00 degrees
Last column: nearest neighbours and their distance in Å.
Positions (direct):
O 0.3826 0.3461 0.3613  1 Ru 1.92
O 0.6539 0.0365 0.3613  1 Ru 1.92
O 0.0365 0.3826 0.6387  1 Ru 1.92
O 0.6539 0.6174 0.1387  1 Ru 1.92
O 0.9635 0.6174 0.3613  1 Ru 1.92
O 0.6174 0.6539 0.6387  1 Ru 1.92
O 0.6174 0.9635 0.8613  1 Ru 1.92
O 0.0365 0.6539 0.8613  1 Ru 1.92
O 0.9635 0.3461 0.1387  1 Ru 1.92
O 0.3826 0.0365 0.1387  1 Ru 1.92
O 0.3461 0.3826 0.8613  1 Ru 1.92
O 0.3461 0.9635 0.6387  1 Ru 1.92
In 0.6667 0.3333 0.7500  6 O 2.18
In 0.3333 0.6667 0.2500  6 O 2.18
Ca 0.0000 0.0000 0.0000  6 O 2.40
Ca 0.0000 0.0000 0.5000  6 O 2.40
Ru 0.3333 0.6667 0.7500  6 O 1.92
Ru 0.6667 0.3333 0.2500  6 O 1.92

---

Zn2HgIr | PBE | relaxed

Values from the calculation:
* V: 16.405 Å³/atom
* density of states at the Fermi level: 2.0 states/eV per cell
* calculated formation energy: 132 meV/atom

Cell lengths 3.2219, 3.2219, 6.3213 Å; angles 90.00, 90.00, 90.00 degrees
Last column: nearest neighbours and their distance in Å.
Positions (direct):
Hg 0.0000 0.0000 0.4960  6 Zn 2.87-3.22, 4 Ir 2.97
Zn 0.5000 0.5000 0.2190  1 Ir 2.66, 4 Zn 2.71, 4 Hg 2.87
Zn 0.0000 0.0000 0.9870  4 Ir 2.57, 4 Zn 2.71
Ir 0.5000 0.5000 0.7980  5 Zn 2.57-2.66

---

ZnRe2W | PBE | relaxed

Values from the calculation:
* V: 15.162 Å³/atom
* density of states at the Fermi level: 2.5 states/eV per cell
* calculated formation energy: 217 meV/atom

Cell lengths 4.3881, 2.6836, 5.2347 Å; angles 79.69, 90.00, 90.00 degrees
Last column: nearest neighbours and their distance in Å.
Positions (direct):
Re 0.0000 0.0319 0.9926  4 Re 2.60-2.84, 2 W 2.69, 2 Zn 2.71
Re 0.0000 0.4681 0.5074  4 Re 2.60-2.84, 2 W 2.69, 2 Zn 2.71
W 0.5000 0.2500 0.2500  2 W 2.68, 4 Re 2.69, 2 Zn 2.72
Zn 0.5000 0.7500 0.7500  2 Zn 2.68, 4 Re 2.71, 2 W 2.72

---

HfSc2VBi | PBE | relaxed

Values from the calculation:
* V: 24.149 Å³/atom
* density of states at the Fermi level: 7.7 states/eV per cell
* calculated formation energy: 620 meV/atom

Cell lengths 4.8184, 5.2007, 4.8184 Å; angles 90.00, 90.00, 90.00 degrees
Last column: nearest neighbours and their distance in Å.
Positions (direct):
Bi 0.0000 0.5000 0.0000  2 V 2.60
Sc 0.0000 0.0000 0.5000  2 V 2.41
Sc 0.5000 0.0000 0.0000  2 V 2.41
V 0.0000 0.0000 0.0000  4 Sc 2.41, 2 Bi 2.60
Hf 0.5000 0.5000 0.5000  4 Bi 3.41, 8 Sc 3.54

---

Nd4ErAu5 | PBE | relaxed

Values from the calculation:
* V: 25.077 Å³/atom
* density of states at the Fermi level: 6.2 states/eV per cell
* calculated formation energy: -787 meV/atom

Cell lengths 3.6579, 3.6579, 18.7413 Å; angles 90.00, 90.00, 90.00 degrees
Last column: nearest neighbours and their distance in Å.
Positions (direct):
Er 0.0000 0.0000 0.0000  8 Au 3.08
Nd 0.0000 0.0000 0.3986  8 Au 3.21
Nd 0.0000 0.0000 0.1955  8 Au 3.21-3.26
Nd 0.0000 0.0000 0.6014  8 Au 3.21
Nd 0.0000 0.0000 0.8045  8 Au 3.21-3.26
Au 0.5000 0.5000 0.5000  8 Nd 3.21
Au 0.5000 0.5000 0.9107  4 Er 3.08, 4 Nd 3.26, 1 Au 3.35
Au 0.5000 0.5000 0.2972  8 Nd 3.21
Au 0.5000 0.5000 0.7028  8 Nd 3.21
Au 0.5000 0.5000 0.0893  4 Er 3.08, 4 Nd 3.26, 1 Au 3.35

---

LaSmTmIn | PBE | relaxed

Values from the calculation:
* energy relative to the lowest polymorph listed for this composition: 0.030 eV per atom
* V: 29.492 Å³/atom
* density of states at the Fermi level: 7.4 states/eV per cell
* calculated formation energy: -91 meV/atom

Cell lengths 5.5038, 5.5038, 5.5056 Å; angles 119.99, 119.99, 90.00 degrees
Last column: nearest neighbours and their distance in Å.
Positions (direct):
In 0.2500 0.7500 0.5000  4 Tm 3.37, 4 Sm 3.37
La 0.7500 0.2500 0.5000  4 Tm 3.37, 4 Sm 3.37
Sm 0.5000 0.5000 0.0000  4 La 3.37, 4 In 3.37
Tm 0.0000 0.0000 0.0000  4 In 3.37, 4 La 3.37

---

K6BF12 | PBE | relaxed

Values from the calculation:
* V: 17.987 Å³/atom
* formation energy (no corrections): -2218 meV/atom
* density of states at the Fermi level: 16.2 states/eV per cell

Cell lengths 7.0759, 7.0759, 7.0759 Å; angles 98.35, 98.35, 98.35 degrees
Last column: nearest neighbours and their distance in Å.
Positions (direct):
F 0.7688 0.9460 0.0118  1 B 1.64
F 0.8570 0.5073 0.4200  1 F 2.19
F 0.4200 0.8570 0.5073  1 F 2.19
F 0.4927 0.5800 0.1430  1 F 2.19
F 0.5073 0.4200 0.8570  1 F 2.19
F 0.9460 0.0118 0.7688  1 B 1.64
F 0.2312 0.0540 0.9882  1 B 1.64
F 0.0118 0.7688 0.9460  1 B 1.64
F 0.0540 0.9882 0.2312  1 B 1.64
F 0.5800 0.1430 0.4927  1 F 2.19
F 0.9882 0.2312 0.0540  1 B 1.64
F 0.1430 0.4927 0.5800  1 F 2.19
K 0.5993 0.2437 0.1547  6 F 2.61-2.76
K 0.1547 0.5993 0.2437  6 F 2.61-2.76
K 0.2437 0.1547 0.5993  6 F 2.61-2.76
K 0.8453 0.4007 0.7563  6 F 2.61-2.76
K 0.4007 0.7563 0.8453  6 F 2.61-2.76
K 0.7563 0.8453 0.4007  6 F 2.61-2.76
B 0.0000 0.0000 0.0000  6 F 1.64

---

Ce4SmEr3S8 | PBE | relaxed

Values from the calculation:
* V: 22.014 Å³/atom
* formation energy (no corrections): -2018 meV/atom
* density of states at the Fermi level: 21.2 states/eV per cell

Cell lengths 7.8901, 7.9646, 7.8903 Å; angles 119.69, 120.00, 90.00 degrees
Last column: nearest neighbours and their distance in Å.
Positions (direct):
S 0.2494 0.7388 0.4989  2 Er 2.74, 1 Sm 2.80, 3 Ce 2.81-2.86
S 0.7505 0.2612 0.0106  2 Er 2.74, 1 Sm 2.80, 3 Ce 2.81-2.86
S 0.2552 0.2656 0.5104  3 Er 2.74, 3 Ce 2.86
S 0.2601 0.2612 0.0106  2 Er 2.74, 1 Sm 2.80, 3 Ce 2.81-2.86
S 0.7506 0.2612 0.5011  2 Er 2.74, 1 Sm 2.80, 3 Ce 2.81-2.86
S 0.7448 0.7344 0.4896  3 Er 2.74, 3 Ce 2.86
S 0.7399 0.7388 0.9894  2 Er 2.74, 1 Sm 2.80, 3 Ce 2.81-2.86
S 0.2495 0.7388 0.9894  2 Er 2.74, 1 Sm 2.80, 3 Ce 2.81-2.86
Ce 0.0000 0.0000 0.5000  6 S 2.86
Ce 0.5000 0.0000 0.0000  6 S 2.81
Ce 0.5000 0.0000 0.5000  6 S 2.86
Ce 0.0000 0.0000 0.0000  6 S 2.86
Er 0.0000 0.5000 0.5000  6 S 2.74
Er 0.5000 0.5000 0.0000  6 S 2.74
Er 0.5000 0.5000 0.5000  6 S 2.74
Sm 0.0000 0.5000 0.0000  6 S 2.80

---

NaUTa2O8 | PBE | relaxed

Values from the calculation:
* V: 13.433 Å³/atom
* formation energy (no corrections): -2809 meV/atom
* density of states at the Fermi level: 1.2 states/eV per cell

Cell lengths 5.0394, 5.0393, 6.3537 Å; angles 89.80, 89.80, 87.48 degrees
Last column: nearest neighbours and their distance in Å.
Positions (direct):
O 0.7767 0.2128 0.2293  1 Ta 1.98, 1 U 2.11
O 0.6843 0.6843 0.0057  2 Ta 2.02-2.23
O 0.7871 0.2233 0.7707  1 Ta 1.98, 1 U 2.11
O 0.6731 0.6731 0.4996  2 Ta 1.92-2.06
O 0.2129 0.7767 0.2293  1 Ta 1.98, 1 U 2.11
O 0.3269 0.3269 0.5004  2 Ta 1.92-2.06
O 0.2233 0.7872 0.7707  1 Ta 1.98, 1 U 2.11
O 0.3157 0.3157 0.9943  2 Ta 2.02-2.23
Ta 0.4843 0.4843 0.7417  5 O 1.92-2.06
Ta 0.5157 0.5157 0.2583  5 O 1.92-2.06
U 0.0000 0.0000 0.0000  6 O 2.11-2.30
Na 0.0000 0.0000 0.5000  6 O 2.30-2.38